1.
Ac4TlGa after structural relaxation, computed with GGA-PBE.

a = 6.747 Å, b = 7.450 Å, c = 9.693 Å
α = 90.00°, β = 109.16°, γ = 90.00°
Fractional positions:
Ac 0.158 0.250 0.070
Ac 0.271 0.504 0.745
Ac 0.271 0.996 0.745
Ac 0.288 0.750 0.363
Ac 0.712 0.250 0.637
Ac 0.729 0.004 0.255
Ac 0.729 0.496 0.255
Ac 0.842 0.750 0.930
Tl 0.195 0.250 0.426
Tl 0.805 0.750 0.574
Ga 0.360 0.750 0.042
Ga 0.640 0.250 0.958

Results
The crystal system is monoclinic. The calculated volume is 460.24 Å³ per cell. The value obtained for the energy above the most stable polymorph in this dataset is 0 meV per atom.



2.
Ac6Tl2Ga after structural relaxation, computed with GGA-PBE.

a = 8.957 Å, b = 8.957 Å, c = 4.845 Å
α = 90.00°, β = 90.00°, γ = 120.00°
Fractional positions:
Ac 0.000 0.405 0.000
Ac 0.000 0.746 0.500
Ac 0.254 0.254 0.500
Ac 0.405 0.000 0.000
Ac 0.595 0.595 0.000
Ac 0.746 0.000 0.500
Tl 0.333 0.667 0.500
Tl 0.667 0.333 0.500
Ga 0.000 0.000 0.000

Results
The crystal system is hexagonal. The calculated volume is 336.67 Å³ per cell. The value obtained for the energy above the most stable polymorph in this dataset is 0 meV per atom.



3.
Ac3Tl3Ga8 after structural relaxation, computed with GGA-PBE.

a = 9.288 Å, b = 9.288 Å, c = 9.288 Å
α = 151.72°, β = 111.65°, γ = 75.55°
Fractional positions:
Ac 0.000 0.000 0.000
Ac 0.316 0.316 0.000
Ac 0.684 0.684 0.000
Tl 0.272 0.500 0.772
Tl 0.500 0.000 0.500
Tl 0.728 0.500 0.228
Ga 0.045 0.671 0.374
Ga 0.101 0.840 0.260
Ga 0.296 0.671 0.626
Ga 0.420 0.160 0.260
Ga 0.580 0.840 0.740
Ga 0.704 0.329 0.374
Ga 0.899 0.160 0.740
Ga 0.955 0.329 0.626

Results
The crystal system is orthorhombic. The calculated volume is 347.65 Å³ per cell.



4.
AcTmTlGa after structural relaxation, computed with GGA-PBE.

a = 5.459 Å, b = 5.459 Å, c = 5.459 Å
α = 60.00°, β = 60.00°, γ = 60.00°
Fractional positions:
Ac 0.000 0.000 0.000
Tm 0.500 0.500 0.500
Tl 0.750 0.750 0.750
Ga 0.250 0.250 0.250

Results
The crystal system is cubic. The calculated volume is 115.06 Å³ per cell.



5.
AcTm2Ga after structural relaxation, computed with GGA-PBE.

a = 3.595 Å, b = 3.595 Å, c = 9.107 Å
α = 90.00°, β = 90.00°, γ = 90.00°
Fractional positions:
Ac 0.000 0.000 0.000
Tm 0.500 0.500 0.307
Tm 0.500 0.500 0.693
Ga 0.000 0.000 0.500

Results
The crystal system is tetragonal. The calculated volume is 117.70 Å³ per cell. The value obtained for the energy above the most stable polymorph in this dataset is 0 meV per atom.



6.
AcTm2Ga2 after structural relaxation, computed with GGA-PBE.

a = 5.320 Å, b = 4.568 Å, c = 11.712 Å
α = 90.00°, β = 94.68°, γ = 90.00°
Fractional positions:
Ac 0.192 0.250 0.245
Ac 0.808 0.750 0.755
Tm 0.245 0.750 0.493
Tm 0.345 0.250 0.892
Tm 0.655 0.750 0.108
Tm 0.755 0.250 0.507
Ga 0.145 0.750 0.019
Ga 0.278 0.250 0.644
Ga 0.722 0.750 0.356
Ga 0.855 0.250 0.981

Results
The crystal system is monoclinic. The calculated volume is 283.67 Å³ per cell.



7.
AcTm2Ga after structural relaxation, computed with GGA-PBE.

a = 11.508 Å, b = 11.508 Å, c = 11.508 Å
α = 17.93°, β = 17.93°, γ = 17.93°
Fractional positions:
Ac 0.000 0.000 0.000
Tm 0.105 0.105 0.105
Tm 0.895 0.895 0.895
Ga 0.500 0.500 0.500

Results
The crystal system is trigonal. The calculated volume is 126.10 Å³ per cell. The value obtained for the energy above the most stable polymorph in this dataset is 229 meV per atom.



8.
AcTmGa3 after structural relaxation, computed with GGA-PBE.

a = 13.179 Å, b = 13.179 Å, c = 4.283 Å
α = 90.00°, β = 90.00°, γ = 160.34°
Fractional positions:
Ac 0.076 0.924 0.750
Ac 0.924 0.076 0.250
Tm 0.204 0.796 0.250
Tm 0.796 0.204 0.750
Ga 0.318 0.682 0.250
Ga 0.375 0.625 0.750
Ga 0.475 0.525 0.750
Ga 0.525 0.475 0.250
Ga 0.625 0.375 0.250
Ga 0.682 0.318 0.750

Results
The crystal system is orthorhombic. The calculated volume is 250.29 Å³ per cell.



9.
AcTm2Ga after structural relaxation, computed with GGA-PBE.

a = 4.868 Å, b = 4.868 Å, c = 4.922 Å
α = 90.00°, β = 90.00°, γ = 90.00°
Fractional positions:
Ac 0.000 0.000 0.000
Tm 0.000 0.500 0.500
Tm 0.500 0.000 0.500
Ga 0.500 0.500 0.000

Results
The crystal system is tetragonal. The calculated volume is 116.63 Å³ per cell. The value obtained for the energy above the most stable polymorph in this dataset is 136 meV per atom.



10.
AcTm2Ga4 after structural relaxation, computed with GGA-PBE.

a = 9.672 Å, b = 9.672 Å, c = 9.672 Å
α = 154.85°, β = 153.51°, γ = 36.85°
Fractional positions:
Ac 0.000 0.000 0.000
Tm 0.186 0.686 0.500
Tm 0.814 0.314 0.500
Ga 0.348 0.848 0.500
Ga 0.428 0.428 0.000
Ga 0.572 0.572 0.000
Ga 0.652 0.152 0.500

Results
The crystal system is orthorhombic. The calculated volume is 171.32 Å³ per cell.



11.
AcTm2Ga after structural relaxation, computed with GGA-PBE.

a = 5.437 Å, b = 5.437 Å, c = 5.437 Å
α = 60.00°, β = 60.00°, γ = 60.00°
Fractional positions:
Ac 0.000 0.000 0.000
Tm 0.250 0.250 0.250
Tm 0.750 0.750 0.750
Ga 0.500 0.500 0.500

Results
The crystal system is cubic. The calculated volume is 113.64 Å³ per cell. The value obtained for the energy above the most stable polymorph in this dataset is 333 meV per atom.



12.
AcTm2Ga6 after structural relaxation, computed with GGA-PBE.

a = 7.391 Å, b = 7.391 Å, c = 4.290 Å
α = 90.00°, β = 90.00°, γ = 120.00°
Fractional positions:
Ac 0.000 0.000 0.000
Tm 0.333 0.667 0.000
Tm 0.667 0.333 0.000
Ga 0.000 0.338 0.500
Ga 0.000 0.662 0.500
Ga 0.338 0.000 0.500
Ga 0.338 0.338 0.500
Ga 0.662 0.000 0.500
Ga 0.662 0.662 0.500

Results
The crystal system is hexagonal. The calculated volume is 202.95 Å³ per cell. The value obtained for the energy above the most stable polymorph in this dataset is 0 meV per atom.



13.
AcTm2Ga after structural relaxation, computed with GGA-PBE.

a = 6.711 Å, b = 6.711 Å, c = 6.711 Å
α = 42.99°, β = 42.99°, γ = 42.99°
Fractional positions:
Ac 0.000 0.000 0.000
Tm 0.212 0.212 0.212
Tm 0.449 0.449 0.449
Ga 0.807 0.807 0.807

Results
The crystal system is trigonal. The calculated volume is 127.35 Å³ per cell. The value obtained for the energy above the most stable polymorph in this dataset is 141 meV per atom.



14.
AcTm4Ga4 after structural relaxation, computed with GGA-PBE.

a = 9.450 Å, b = 9.450 Å, c = 5.780 Å
α = 90.00°, β = 90.00°, γ = 90.00°
Fractional positions:
Ac 0.250 0.250 0.250
Ac 0.750 0.750 0.750
Tm 0.094 0.646 0.135
Tm 0.146 0.906 0.635
Tm 0.354 0.594 0.635
Tm 0.406 0.854 0.135
Tm 0.594 0.146 0.865
Tm 0.646 0.406 0.365
Tm 0.854 0.094 0.365
Tm 0.906 0.354 0.865
Ga 0.046 0.596 0.639
Ga 0.096 0.954 0.139
Ga 0.404 0.546 0.139
Ga 0.454 0.904 0.639
Ga 0.546 0.096 0.361
Ga 0.596 0.454 0.861
Ga 0.904 0.046 0.861
Ga 0.954 0.404 0.361

Results
The crystal system is tetragonal. The calculated volume is 516.20 Å³ per cell.



15.
AcTmGa4 after structural relaxation, computed with GGA-PBE.

a = 5.703 Å, b = 5.703 Å, c = 5.703 Å
α = 60.00°, β = 60.00°, γ = 60.00°
Fractional positions:
Ac 0.000 0.000 0.000
Tm 0.250 0.250 0.250
Ga 0.126 0.625 0.625
Ga 0.625 0.126 0.625
Ga 0.625 0.625 0.126
Ga 0.625 0.625 0.625

Results
The crystal system is cubic. The calculated volume is 131.17 Å³ per cell. The value obtained for the energy above the most stable polymorph in this dataset is 132 meV per atom.



16.
AcTm2Ga6 after structural relaxation, computed with GGA-PBE.

a = 7.743 Å, b = 7.743 Å, c = 7.743 Å
α = 147.01°, β = 123.05°, γ = 67.41°
Fractional positions:
Ac 0.000 0.000 0.000
Tm 0.374 0.874 0.500
Tm 0.626 0.126 0.500
Ga 0.017 0.312 0.705
Ga 0.328 0.500 0.828
Ga 0.393 0.688 0.705
Ga 0.607 0.312 0.295
Ga 0.672 0.500 0.172
Ga 0.983 0.688 0.295

Results
The crystal system is orthorhombic. The calculated volume is 209.09 Å³ per cell. The value obtained for the energy above the most stable polymorph in this dataset is 64 meV per atom.



17.
AcTmGa4 after structural relaxation, computed with GGA-PBE.

a = 8.249 Å, b = 15.843 Å, c = 4.405 Å
α = 90.00°, β = 90.00°, γ = 90.00°
Fractional positions:
Ac 0.132 0.148 0.000
Ac 0.368 0.648 0.000
Ac 0.632 0.352 0.000
Ac 0.868 0.852 0.000
Tm 0.130 0.416 0.000
Tm 0.370 0.916 0.000
Tm 0.630 0.084 0.000
Tm 0.870 0.584 0.000
Ga 0.013 0.698 0.500
Ga 0.118 0.551 0.500
Ga 0.130 0.967 0.500
Ga 0.206 0.813 0.500
Ga 0.294 0.313 0.500
Ga 0.370 0.467 0.500
Ga 0.382 0.051 0.500
Ga 0.487 0.198 0.500
Ga 0.513 0.802 0.500
Ga 0.618 0.949 0.500
Ga 0.630 0.533 0.500
Ga 0.706 0.687 0.500
Ga 0.794 0.187 0.500
Ga 0.870 0.033 0.500
Ga 0.882 0.449 0.500
Ga 0.987 0.302 0.500

Results
The crystal system is orthorhombic. The calculated volume is 575.66 Å³ per cell. The value obtained for the energy above the most stable polymorph in this dataset is 0 meV per atom.



18.
AcTmZn2Ga2 after structural relaxation, computed with GGA-PBE.

a = 4.470 Å, b = 4.470 Å, c = 7.815 Å
α = 90.00°, β = 90.00°, γ = 120.00°
Fractional positions:
Ac 0.000 0.000 0.000
Tm 0.000 0.000 0.500
Zn 0.333 0.667 0.698
Zn 0.667 0.333 0.302
Ga 0.333 0.667 0.288
Ga 0.667 0.333 0.712

Results
The crystal system is trigonal. The calculated volume is 135.21 Å³ per cell.



19.
AcUGa4 after structural relaxation, computed with GGA-PBE.

a = 5.681 Å, b = 5.681 Å, c = 5.681 Å
α = 60.00°, β = 60.00°, γ = 60.00°
Fractional positions:
Ac 0.000 0.000 0.000
U 0.250 0.250 0.250
Ga 0.129 0.624 0.624
Ga 0.624 0.129 0.624
Ga 0.624 0.624 0.129
Ga 0.624 0.624 0.624

Results
The crystal system is cubic. The calculated volume is 129.66 Å³ per cell.



20.
AcUGa2 after structural relaxation, computed with GGA-PBE.

a = 11.862 Å, b = 11.862 Å, c = 11.862 Å
α = 15.94°, β = 15.94°, γ = 15.94°
Fractional positions:
Ac 0.000 0.000 0.000
U 0.500 0.500 0.500
Ga 0.415 0.415 0.415
Ga 0.585 0.585 0.585

Results
The crystal system is trigonal. The calculated volume is 109.72 Å³ per cell.



21.
AcVGa2 after structural relaxation, computed with GGA-PBE.

a = 6.202 Å, b = 6.202 Å, c = 6.202 Å
α = 41.97°, β = 41.97°, γ = 41.97°
Fractional positions:
Ac 0.000 0.000 0.000
V 0.500 0.500 0.500
Ga 0.206 0.206 0.206
Ga 0.794 0.794 0.794

Results
The crystal system is trigonal. The calculated volume is 96.52 Å³ per cell. The value obtained for the energy above the most stable polymorph in this dataset is 0 meV per atom.



22.
AcVGa2 after structural relaxation, computed with GGA-PBE.

a = 3.467 Å, b = 3.467 Å, c = 7.194 Å
α = 90.00°, β = 90.00°, γ = 90.00°
Fractional positions:
Ac 0.000 0.000 0.000
V 0.000 0.000 0.500
Ga 0.500 0.500 0.316
Ga 0.500 0.500 0.684

Results
The crystal system is tetragonal. The calculated volume is 86.47 Å³ per cell. The value obtained for the energy above the most stable polymorph in this dataset is 83 meV per atom.



23.
AcYGa after structural relaxation, computed with GGA-PBE.

a = 7.249 Å, b = 7.249 Å, c = 7.249 Å
α = 150.35°, β = 150.35°, γ = 42.42°
Fractional positions:
Ac 0.000 0.000 0.000
Y 0.717 0.717 0.000
Ga 0.337 0.337 0.000

Results
The crystal system is tetragonal. The calculated volume is 92.99 Å³ per cell. The value obtained for the energy above the most stable polymorph in this dataset is 12 meV per atom.



24.
AcY2Ga6 after structural relaxation, computed with GGA-PBE.

a = 7.414 Å, b = 7.414 Å, c = 4.346 Å
α = 90.00°, β = 90.00°, γ = 120.00°
Fractional positions:
Ac 0.000 0.000 0.000
Y 0.333 0.667 0.000
Y 0.667 0.333 0.000
Ga 0.000 0.337 0.500
Ga 0.000 0.663 0.500
Ga 0.337 0.000 0.500
Ga 0.337 0.337 0.500
Ga 0.663 0.000 0.500
Ga 0.663 0.663 0.500

Results
The crystal system is hexagonal. The calculated volume is 206.88 Å³ per cell. The value obtained for the energy above the most stable polymorph in this dataset is 0 meV per atom.



25.
AcYGa after structural relaxation, computed with GGA-PBE.

a = 3.704 Å, b = 7.232 Å, c = 7.412 Å
α = 105.12°, β = 90.02°, γ = 104.81°
Fractional positions:
Ac 0.136 0.270 0.070
Ac 0.864 0.730 0.930
Y 0.148 0.296 0.576
Y 0.852 0.704 0.424
Ga 0.500 0.000 0.301
Ga 0.500 0.000 0.699

Results
The crystal system is triclinic. The calculated volume is 184.82 Å³ per cell. The value obtained for the energy above the most stable polymorph in this dataset is 0 meV per atom.



| no. | E (eV per atom) | ΔE_f (eV per atom) | magnetic moment (μB/f.u.) |
| --- | --- | --- | --- |
| 1 | -3.884 | -0.247 | 0.0 |
| 2 | -3.874 | -0.273 | 0.1 |
| 3 | -3.507 | -0.390 | 0.0 |
| 4 | -3.837 | -0.344 | 0.0 |
| 5 | -4.261 | -0.241 | 0.0 |
| 6 | -4.205 | -0.384 | 0.0 |
| 7 | -4.032 | -0.012 | 0.0 |
| 8 | -4.139 | -0.607 | 0.0 |
| 9 | -4.124 | -0.105 | 0.0 |
| 10 | -4.196 | -0.602 | 0.0 |
| 11 | -3.928 | 0.092 | 0.8 |
| 12 | -4.024 | -0.555 | 0.0 |
| 13 | -4.120 | -0.101 | 0.0 |
| 14 | -4.127 | -0.338 | 0.0 |
| 15 | -3.873 | -0.425 | 0.0 |
| 16 | -3.959 | -0.491 | 0.0 |
| 17 | -4.006 | -0.558 | 0.0 |
| 18 | -3.401 | -0.538 | 0.0 |
| 19 | -4.775 | -0.191 | 3.3 |
| 20 | -4.861 | 0.502 | 3.1 |
| 21 | -5.022 | -0.201 | 3.1 |
| 22 | -4.939 | -0.119 | 2.4 |
| 23 | -4.834 | -0.301 | 0.0 |
| 24 | -4.529 | -0.618 | 0.0 |
| 25 | -4.846 | -0.313 | 0.0 |